[1]
Compound: V3Pb5F19
Source: the Alexandria database
Functional: PBEsol
Structure: relaxed

Values from the calculation:
* total magnetic moment: 12.000 Bohr magnetons per cell
* volume: 782.15 Å³/cell
* E_form (uncorrected): -2.570 eV per atom
* DOS(E_F): 49.76 states/eV per cell

Cell lengths 7.6346, 10.8175, 10.8175 Å; angles 82.85, 69.34, 69.34 degrees
Last column: magnetic moment on the atom in μB.
Atoms (fractional coordinates):
F1 0.3548 0.1350 0.3500  0.00
F2 0.1980 0.1786 0.9344  0.01
F3 0.2048 0.1350 0.6500  0.00
F4 0.4738 0.3704 0.2513  0.00
F5 0.8442 0.2513 0.6296  0.00
F6 0.4899 0.3500 0.8650  0.00
F7 0.6324 0.1786 0.0656  0.01
F8 0.5263 0.2654 0.5000  0.00
F9 0.0263 0.5000 0.2654  0.00
F10 0.4736 0.5000 0.6477  0.00
F11 0.1121 0.0019 0.5000  0.00
F12 0.7048 0.6500 0.1350  0.00
F13 0.7917 0.5000 0.7346  0.00
F14 0.3442 0.6296 0.2513  0.00
F15 0.3398 0.6500 0.8650  0.00
F16 0.6121 0.5000 0.0019  0.00
F17 0.1213 0.3523 0.5000  0.00
F18 0.7251 0.7487 0.3704  0.00
F19 0.8110 0.0656 0.8214  0.01
F20 0.8398 0.8650 0.6500  0.00
F21 0.9979 0.0000 0.0000  -0.02
F22 0.8548 0.3500 0.1350  0.00
F23 0.1324 0.0656 0.1786  0.01
F24 0.6980 0.9344 0.1786  0.01
F25 0.9736 0.6477 0.5000  0.00
F26 0.2251 0.3704 0.7487  0.00
F27 0.2917 0.7346 0.5000  0.00
F28 0.1140 0.5000 0.9981  0.00
F29 0.3766 0.9344 0.8214  0.01
F30 0.0955 0.6296 0.7487  0.00
F31 0.4979 0.0000 0.0000  -0.02
F32 0.6213 0.5000 0.3523  0.00
F33 0.9738 0.2513 0.3704  0.00
F34 0.5955 0.7487 0.6296  0.00
F35 0.6140 0.9981 0.5000  0.00
F36 0.8766 0.8214 0.9344  0.01
F37 0.9899 0.8650 0.3500  0.00
F38 0.3110 0.8214 0.0656  0.01
V1 0.1078 0.1788 0.5000  1.84
V2 0.6078 0.5000 0.1788  1.84
V3 0.7468 0.0000 0.0000  1.85
V4 0.2468 0.0000 0.0000  1.85
V5 0.2866 0.5000 0.8212  1.84
V6 0.7866 0.8212 0.5000  1.84
Pb1 0.8266 0.2981 0.8483  0.01
Pb2 0.2976 0.5000 0.5000  0.00
Pb3 0.6750 0.1517 0.2981  0.01
Pb4 0.1248 0.8483 0.7019  0.01
Pb5 0.1750 0.2981 0.1517  0.01
Pb6 0.3266 0.8483 0.2981  0.01
Pb7 0.7976 0.5000 0.5000  0.00
Pb8 0.4731 0.1517 0.7019  0.01
Pb9 0.6248 0.7019 0.8483  0.01
Pb10 0.9731 0.7019 0.1517  0.01

[2]
Compound: Pb3WF
Source: the Alexandria database
Functional: PBEsol
Structure: relaxed

Values from the calculation:
* total magnetic moment: 0.000 Bohr magnetons per cell
* volume: 147.10 Å³/cell
* E_form (uncorrected): 0.187 eV per atom
* DOS(E_F): 2.25 states/eV per cell

Cell lengths 5.2789, 5.2789, 5.2789 Å; angles 90.00, 90.00, 90.00 degrees
Atoms (fractional coordinates):
Pb1 0.0000 0.0000 0.5000
Pb2 0.5000 0.0000 0.0000
Pb3 0.0000 0.5000 0.0000
F1 0.5000 0.5000 0.5000
W1 0.0000 0.0000 0.0000

[3]
Compound: Y2PbF
Source: the Alexandria database
Functional: PBEsol
Structure: relaxed

Values from the calculation:
* total magnetic moment: 0.001 Bohr magnetons per cell
* volume: 92.45 Å³/cell
* E_form (uncorrected): -1.147 eV per atom
* DOS(E_F): 2.77 states/eV per cell

Cell lengths 5.0755, 5.0755, 5.0755 Å; angles 60.00, 60.00, 60.00 degrees
Atoms (fractional coordinates):
Y1 0.2500 0.2500 0.2500
Y2 0.7500 0.7500 0.7500
Pb1 0.5000 0.5000 0.5000
F1 0.0000 0.0000 0.0000

[4]
Compound: YPbF3
Source: the Alexandria database
Functional: PBEsol
Structure: relaxed

Values from the calculation:
* total magnetic moment: 1.706 Bohr magnetons per cell
* volume: 105.28 Å³/cell
* E_form (uncorrected): -1.592 eV per atom
* DOS(E_F): 3.33 states/eV per cell

Cell lengths 4.7219, 4.7219, 4.7219 Å; angles 90.00, 90.00, 90.00 degrees
Last column: magnetic moment on the atom in μB.
Atoms (fractional coordinates):
F1 0.5000 0.0000 0.5000  0.03
F2 0.0000 0.5000 0.5000  0.03
F3 0.5000 0.5000 0.0000  0.03
Pb1 0.5000 0.5000 0.5000  0.05
Y1 0.0000 0.0000 0.0000  0.85

[5]
Compound: ZnPbF2
Source: the Alexandria database
Functional: PBEsol
Structure: relaxed

Values from the calculation:
* total magnetic moment: 0.000 Bohr magnetons per cell
* volume: 70.02 Å³/cell
* E_form (uncorrected): -1.320 eV per atom
* DOS(E_F): 0.25 states/eV per cell

Cell lengths 3.2170, 3.2170, 8.0301 Å; angles 78.44, 78.44, 60.00 degrees
Atoms (fractional coordinates):
Pb1 0.5000 0.5000 0.5000
Zn1 0.0000 0.0000 0.0000
F1 0.9152 0.9152 0.2543
F2 0.0848 0.0848 0.7457

[6]
Compound: ZrPbF6
Source: the Alexandria database
Functional: PBEsol
Structure: relaxed

Values from the calculation:
* total magnetic moment: 0.000 Bohr magnetons per cell
* volume: 223.08 Å³/cell
* E_form (uncorrected): -3.269 eV per atom
* DOS(E_F): 0.00 states/eV per cell

Cell lengths 5.3468, 6.7044, 6.7044 Å; angles 111.84, 90.00, 90.00 degrees
Atoms (fractional coordinates):
F1 0.7423 0.4404 0.1844
F2 0.7423 0.6844 0.9404
F3 0.2577 0.3156 0.0596
F4 0.8422 0.4280 0.5720
F5 0.1578 0.5720 0.4280
F6 0.2577 0.5596 0.8156
F7 0.2577 0.1844 0.4404
F8 0.1578 0.9280 0.0720
F9 0.2577 0.9404 0.6844
F10 0.7423 0.8156 0.5596
F11 0.7423 0.0596 0.3156
F12 0.8422 0.0720 0.9280
Zr1 0.0000 0.2500 0.2500
Zr2 0.0000 0.7500 0.7500
Pb1 0.5325 0.2500 0.7500
Pb2 0.4675 0.7500 0.2500

[7]
Compound: ZrPb3F10
Source: the Alexandria database
Functional: PBEsol
Structure: relaxed

Values from the calculation:
* total magnetic moment: 0.000 Bohr magnetons per cell
* volume: 397.96 Å³/cell
* E_form (uncorrected): -2.880 eV per atom
* DOS(E_F): 0.00 states/eV per cell

Cell lengths 5.9708, 8.2377, 8.2377 Å; angles 100.83, 90.00, 90.00 degrees
Atoms (fractional coordinates):
Pb1 0.7500 0.1089 0.3209
Pb2 0.2500 0.3885 0.6115
Pb3 0.7500 0.6115 0.3885
Pb4 0.2500 0.8911 0.6791
Pb5 0.2500 0.3209 0.1089
Pb6 0.7500 0.6791 0.8911
F1 0.7500 0.9227 0.7425
F2 0.9619 0.1533 0.6040
F3 0.5000 0.3641 0.3641
F4 0.2500 0.0773 0.2575
F5 0.5000 0.6359 0.6359
F6 0.5381 0.3960 0.8467
F7 0.0381 0.8467 0.3960
F8 0.5381 0.1533 0.6040
F9 0.0381 0.6040 0.1533
F10 0.9536 0.8984 0.1016
F11 0.5464 0.8984 0.1016
F12 0.9619 0.3960 0.8467
F13 0.0000 0.3641 0.3641
F14 0.0464 0.1016 0.8984
F15 0.4619 0.6040 0.1533
F16 0.0000 0.6359 0.6359
F17 0.2500 0.7425 0.9227
F18 0.4536 0.1016 0.8984
F19 0.7500 0.2575 0.0773
F20 0.4619 0.8467 0.3960
Zr1 0.7500 0.1825 0.8175
Zr2 0.2500 0.8175 0.1825

[8]
Compound: Zr2PbF2
Source: the Alexandria database
Functional: PBEsol
Structure: relaxed

Values from the calculation:
* total magnetic moment: 0.007 Bohr magnetons per cell
* volume: 81.40 Å³/cell
* E_form (uncorrected): -1.780 eV per atom
* DOS(E_F): 3.42 states/eV per cell

Cell lengths 3.6832, 3.6832, 6.5409 Å; angles 106.35, 106.35, 90.00 degrees
Atoms (fractional coordinates):
Pb1 0.0000 0.0000 0.0000
Zr1 0.3736 0.3736 0.7472
Zr2 0.6264 0.6264 0.2528
F1 0.2500 0.7500 0.5000
F2 0.7500 0.2500 0.5000

[9]
Compound: PdF3
Source: the Alexandria database
Functional: PBEsol
Structure: relaxed

Values from the calculation:
* total magnetic moment: 0.010 Bohr magnetons per cell
* volume: 176.97 Å³/cell
* E_form (uncorrected): -1.234 eV per atom
* DOS(E_F): 6.52 states/eV per cell

Cell lengths 5.3755, 5.3755, 7.0718 Å; angles 90.00, 90.00, 120.00 degrees
Atoms (fractional coordinates):
Pd1 0.0000 0.0000 0.0000
Pd2 0.6667 0.3333 0.3397
Pd3 0.3333 0.6667 0.6603
F1 0.7630 0.0965 0.1778
F2 0.3335 0.2370 0.1778
F3 0.6665 0.9035 0.8222
F4 0.6037 0.6037 0.5000
F5 0.0000 0.3963 0.5000
F6 0.9035 0.6665 0.1778
F7 0.2370 0.3335 0.8222
F8 0.3963 0.0000 0.5000
F9 0.0965 0.7630 0.8222

[10]
Compound: PdF3
Source: the Alexandria database
Functional: PBEsol
Structure: relaxed

Values from the calculation:
* total magnetic moment: 1.014 Bohr magnetons per cell
* volume: 103.84 Å³/cell
* E_form (uncorrected): -1.263 eV per atom
* DOS(E_F): 5.30 states/eV per cell

Cell lengths 5.0556, 5.0556, 5.5252 Å; angles 62.77, 62.77, 60.00 degrees
Last column: magnetic moment on the atom in μB.
Atoms (fractional coordinates):
F1 0.2500 0.8920 0.2500  0.05
F2 0.3920 0.7500 0.7500  0.05
F3 0.7500 0.1080 0.7500  0.05
F4 0.6080 0.2500 0.2500  0.05
F5 0.8920 0.6080 0.2500  0.05
F6 0.1080 0.3920 0.7500  0.05
Pd1 0.0000 0.0000 0.0000  0.35
Pd2 0.5000 0.5000 0.5000  0.35

[11]
Compound: PdPtF6
Source: the Alexandria database
Functional: PBEsol
Structure: relaxed

Values from the calculation:
* total magnetic moment: 1.994 Bohr magnetons per cell
* volume: 104.15 Å³/cell
* E_form (uncorrected): -1.255 eV per atom

Cell lengths 5.0341, 5.0341, 5.5649 Å; angles 63.11, 63.11, 60.00 degrees
Last column: magnetic moment on the atom in μB.
Atoms (fractional coordinates):
F1 0.4252 0.1010 0.7405  0.08
F2 0.7334 0.4252 0.7405  0.08
F3 0.5748 0.8990 0.2595  0.08
F4 0.8990 0.2666 0.2595  0.08
F5 0.2666 0.5748 0.2595  0.08
F6 0.1010 0.7334 0.7405  0.08
Pd1 0.0000 0.0000 0.0000  1.33
Pt1 0.5000 0.5000 0.5000  0.15

[12]
Compound: Rb2PdF6
Source: the Alexandria database
Functional: PBEsol
Structure: relaxed

Values from the calculation:
* total magnetic moment: 0.001 Bohr magnetons per cell
* volume: 153.70 Å³/cell
* E_form (uncorrected): -2.150 eV per atom
* DOS(E_F): 0.00 states/eV per cell

Cell lengths 6.0125, 6.0125, 6.0125 Å; angles 60.00, 60.00, 60.00 degrees
Atoms (fractional coordinates):
F1 0.2256 0.7744 0.7744
F2 0.7744 0.2256 0.7744
F3 0.2256 0.7744 0.2256
F4 0.7744 0.2256 0.2256
F5 0.7744 0.7744 0.2256
F6 0.2256 0.2256 0.7744
Rb1 0.7500 0.7500 0.7500
Rb2 0.2500 0.2500 0.2500
Pd1 0.0000 0.0000 0.0000

[13]
Compound: Rb3PdF5
Source: the Alexandria database
Functional: PBEsol
Structure: relaxed

Values from the calculation:
* total magnetic moment: 0.417 Bohr magnetons per cell
* volume: 348.12 Å³/cell
* E_form (uncorrected): -2.263 eV per atom
* DOS(E_F): 0.00 states/eV per cell

Cell lengths 6.3607, 7.3979, 7.3979 Å; angles 90.00, 90.00, 90.00 degrees
Last column: magnetic moment on the atom in μB.
Atoms (fractional coordinates):
Rb1 0.5000 0.1738 0.3262  0.00
Rb2 0.5000 0.3262 0.8262  0.00
Rb3 0.0000 0.0000 0.0000  0.00
Rb4 0.5000 0.8262 0.6738  0.00
Rb5 0.5000 0.6738 0.1738  0.00
Rb6 0.0000 0.5000 0.5000  0.00
F1 0.7864 0.1340 0.6340  0.01
F2 0.5000 0.0000 0.0000  0.00
F3 0.7864 0.6340 0.8660  0.01
F4 0.2136 0.3660 0.1340  0.01
F5 0.2136 0.8660 0.3660  0.01
F6 0.7864 0.8660 0.3660  0.01
F7 0.2136 0.6340 0.8660  0.01
F8 0.2136 0.1340 0.6340  0.01
F9 0.5000 0.5000 0.5000  0.00
F10 0.7864 0.3660 0.1340  0.01
Pd1 0.0000 0.5000 0.0000  0.15
Pd2 0.0000 0.0000 0.5000  0.15

[14]
Compound: RbPd2F5
Source: the Alexandria database
Functional: PBEsol
Structure: relaxed

Values from the calculation:
* total magnetic moment: 4.011 Bohr magnetons per cell
* volume: 255.26 Å³/cell
* E_form (uncorrected): -1.589 eV per atom
* DOS(E_F): 1.91 states/eV per cell

Cell lengths 6.2481, 7.2778, 7.2778 Å; angles 63.27, 64.58, 64.58 degrees
Last column: magnetic moment on the atom in μB.
Atoms (fractional coordinates):
Pd1 0.5000 0.5000 0.0000  0.13
Pd2 0.0000 0.5000 0.0000  0.13
Pd3 0.0000 0.0000 0.0000  1.34
Pd4 0.0000 0.5000 0.5000  1.34
Rb1 0.6000 0.1500 0.6500  0.00
Rb2 0.4000 0.8500 0.3500  0.00
F1 0.1448 0.5505 0.6883  0.08
F2 0.3837 0.8117 0.9495  0.08
F3 0.6163 0.1883 0.0505  0.08
F4 0.8552 0.4495 0.3117  0.08
F5 0.6163 0.5505 0.6883  0.08
F6 0.8552 0.8117 0.9495  0.08
F7 0.1448 0.1883 0.0505  0.08
F8 0.3837 0.4495 0.3117  0.08
F9 0.9069 0.8431 0.3431  0.16
F10 0.0931 0.1569 0.6569  0.16

[15]
Compound: Rb2TlPdF6
Source: the Alexandria database
Functional: PBEsol
Structure: relaxed

Values from the calculation:
* total magnetic moment: 1.007 Bohr magnetons per cell
* volume: 181.76 Å³/cell
* E_form (uncorrected): -2.024 eV per atom
* DOS(E_F): 2.74 states/eV per cell

Cell lengths 6.3583, 6.3583, 6.3583 Å; angles 60.00, 60.00, 60.00 degrees
Last column: magnetic moment on the atom in μB.
Atoms (fractional coordinates):
F1 0.2289 0.7711 0.2289  0.04
F2 0.7711 0.2289 0.7711  0.04
F3 0.2289 0.2289 0.7711  0.04
F4 0.7711 0.7711 0.2289  0.04
F5 0.7711 0.2289 0.2289  0.04
F6 0.2289 0.7711 0.7711  0.04
Pd1 0.0000 0.0000 0.0000  0.74
Rb1 0.7500 0.7500 0.7500  0.00
Rb2 0.2500 0.2500 0.2500  0.00
Tl1 0.5000 0.5000 0.5000  -0.01

[16]
Compound: RePdF3
Source: the Alexandria database
Functional: PBEsol
Structure: relaxed

Values from the calculation:
* total magnetic moment: 5.809 Bohr magnetons per cell
* volume: 76.02 Å³/cell
* E_form (uncorrected): 0.234 eV per atom
* DOS(E_F): 2.85 states/eV per cell

Cell lengths 4.2361, 4.2361, 4.2361 Å; angles 90.00, 90.00, 90.00 degrees
Last column: magnetic moment on the atom in μB.
Atoms (fractional coordinates):
Pd1 0.0000 0.0000 0.0000  0.03
F1 0.5000 0.0000 0.0000  0.08
F2 0.0000 0.0000 0.5000  0.08
F3 0.0000 0.5000 0.0000  0.08
Re1 0.5000 0.5000 0.5000  4.45

[17]
Compound: RePd2F
Source: the Alexandria database
Functional: PBEsol
Structure: relaxed

Values from the calculation:
* total magnetic moment: 0.001 Bohr magnetons per cell
* volume: 54.65 Å³/cell
* E_form (uncorrected): 0.391 eV per atom
* DOS(E_F): 4.45 states/eV per cell

Cell lengths 4.2595, 4.2595, 4.2595 Å; angles 60.00, 60.00, 60.00 degrees
Atoms (fractional coordinates):
F1 0.0000 0.0000 0.0000
Pd1 0.7500 0.7500 0.7500
Pd2 0.2500 0.2500 0.2500
Re1 0.5000 0.5000 0.5000

[18]
Compound: Zr2PdRhF
Source: the Alexandria database
Functional: PBEsol
Structure: relaxed

Values from the calculation:
* total magnetic moment: 0.001 Bohr magnetons per cell
* volume: 95.10 Å³/cell
* E_form (uncorrected): -0.144 eV per atom
* DOS(E_F): 5.62 states/eV per cell

Cell lengths 3.8713, 4.9563, 4.9563 Å; angles 90.00, 90.00, 90.00 degrees
Atoms (fractional coordinates):
Rh1 0.0000 0.0000 0.0000
F1 0.5000 0.0000 0.0000
Zr1 0.0000 0.0000 0.5000
Zr2 0.0000 0.5000 0.0000
Pd1 0.5000 0.5000 0.5000

[19]
Compound: Pd3RuF
Source: the Alexandria database
Functional: PBEsol
Structure: relaxed

Values from the calculation:
* total magnetic moment: 3.677 Bohr magnetons per cell
* volume: 75.35 Å³/cell
* E_form (uncorrected): 0.743 eV per atom
* DOS(E_F): 5.34 states/eV per cell

Cell lengths 4.2237, 4.2237, 4.2237 Å; angles 90.00, 90.00, 90.00 degrees
Last column: magnetic moment on the atom in μB.
Atoms (fractional coordinates):
F1 0.0000 0.0000 0.0000  0.02
Pd1 0.0000 0.0000 0.5000  0.34
Pd2 0.5000 0.0000 0.0000  0.34
Pd3 0.0000 0.5000 0.0000  0.34
Ru1 0.5000 0.5000 0.5000  2.50

[20]
Compound: Pd3SF
Source: the Alexandria database
Functional: PBEsol
Structure: relaxed

Values from the calculation:
* total magnetic moment: 0.001 Bohr magnetons per cell
* volume: 77.76 Å³/cell
* E_form (uncorrected): 0.492 eV per atom
* DOS(E_F): 6.76 states/eV per cell

Cell lengths 4.2682, 4.2682, 4.2682 Å; angles 90.00, 90.00, 90.00 degrees
Atoms (fractional coordinates):
Pd1 0.0000 0.0000 0.5000
Pd2 0.5000 0.0000 0.0000
Pd3 0.0000 0.5000 0.0000
S1 0.5000 0.5000 0.5000
F1 0.0000 0.0000 0.0000